Entry 1:
Material: ScMn2F4
Method: DFT, PBE with a Hubbard U
State: relaxed Values from VASP.

Space group   No. 139

Quantum ESPRESSO input file:
```
&SYSTEM
  ibrav = 0, nat = 7, ntyp = 3
/
ATOMIC_SPECIES
F 19.00 F.upf
Mn 54.94 Mn.upf
Sc 44.96 Sc.upf
CELL_PARAMETERS angstrom
4.0005 0.0000 0.0000
0.0000 4.0005 0.0000
2.0002 2.0002 9.3218
ATOMIC_POSITIONS angstrom
F 0.0000 2.0002 0.0000
F 4.0005 4.0005 2.0326
F 2.0002 0.0000 0.0000
F 2.0002 2.0002 7.2891
Mn 4.0005 4.0005 4.0372
Mn 2.0002 2.0002 5.2846
Sc 0.0000 0.0000 0.0000
```



Entry 2:
Material: Sc2MnF
Method: DFT, PBE with a Hubbard U
State: relaxed Values from VASP.

Relative energy among the computed polymorphs   626 meV/atom
Space group   No. 225

Quantum ESPRESSO input file:
```
&SYSTEM
  ibrav = 0, nat = 4, ntyp = 3
/
ATOMIC_SPECIES
F 19.00 F.upf
Mn 54.94 Mn.upf
Sc 44.96 Sc.upf
CELL_PARAMETERS angstrom
0.0000 3.4054 3.4054
3.4054 0.0000 3.4054
3.4054 3.4054 0.0000
ATOMIC_POSITIONS angstrom
F 0.0000 0.0000 0.0000
Mn 3.4054 3.4054 3.4054
Sc 1.7027 1.7027 1.7027
Sc 5.1081 5.1081 5.1081
```



Entry 3:
Material: ScMn3F
Method: DFT, PBE with a Hubbard U
State: relaxed Values from VASP.

Relative energy among the computed polymorphs   1204 meV/atom
Space group   No. 221

Quantum ESPRESSO input file:
```
&SYSTEM
  ibrav = 0, nat = 5, ntyp = 3
/
ATOMIC_SPECIES
Mn 54.94 Mn.upf
Sc 44.96 Sc.upf
F 19.00 F.upf
CELL_PARAMETERS angstrom
5.4680 0.0000 0.0000
0.0000 5.4680 0.0000
0.0000 0.0000 5.4680
ATOMIC_POSITIONS angstrom
Mn 0.0000 0.0000 2.7340
Mn 0.0000 2.7340 0.0000
Mn 2.7340 0.0000 0.0000
Sc 0.0000 0.0000 0.0000
F 2.7340 2.7340 2.7340
```



| no. | mass density (g cm⁻³) | E (eV/atom) |
| --- | --- | --- |
| 1 | 2.57 | -6.5853 |
| 2 | 3.44 | -5.7282 |
| 3 | 2.32 | -4.9876 |